The following is a GGA+U calculation of crystalline TiFeO3 at its relaxed geometry, from the Alexandria database.

The mass density is 4.58 g/cm3. Its volume is 55.1 Å³ per cell. Its crystal system is cubic. The total energy is -7.48 eV per atom.

Lattice parameters (Å, degrees): 3.804 3.804 3.804 90.00 90.00 90.00
Space group Pm-3m (No. 221)
One atom of each set of equivalent atoms:
Ti: 0.000 0.000 0.000
Fe: 0.500 0.500 0.500
O: 0.000 0.000 0.500